DFT (PBE) results for KHfTeAs2 after structural relaxation.

Summary:
The total energy comes out at -16.16 eV/cell. The symmetry is No. 123. The formation energy (no corrections) comes out at 1.47 eV/atom.

```
KHfTeAs2
1.0
5.1124 0.0000 0.0000
0.0000 5.6987 0.0000
0.0000 0.0000 5.1124
As Te Hf K
2 1 1 1
Direct
0.0000 0.0000 0.5000 As
0.5000 0.0000 0.0000 As
0.0000 0.5000 0.0000 Te
0.5000 0.5000 0.5000 Hf
0.0000 0.0000 0.0000 K
```